# 1
A relaxed RbSrCuBr4 crystal, computed with PBE.

Unit cell a=7.001 b=7.446 c=9.490 alpha=90.00 beta=109.41 gamma=90.00
Last column: magnetic moment on the atom in μB.
Fractional coordinates of all 14 atoms:
Cu: 0.778 0.250 0.681  0.10
Sr: 0.768 0.750 0.444  0.00
Cu: 0.222 0.750 0.319  0.10
Br: 0.437 0.750 0.584  0.00
Rb: 0.244 0.250 0.058  0.00
Br: 0.590 0.250 0.856  0.00
Br: 0.017 0.994 0.719  0.01
Br: 0.983 0.494 0.281  0.01
Br: 0.410 0.750 0.144  0.00
Br: 0.983 0.006 0.281  0.01
Br: 0.017 0.506 0.719  0.01
Sr: 0.232 0.250 0.556  0.00
Br: 0.563 0.250 0.416  0.00
Rb: 0.756 0.750 0.942  0.00

## Properties
Formation energy from raw total energies (meV/atom): -1487
Space group: P2_1/m, No. 11
Calculated density (kg/m³): 3959

# 2
A relaxed Dy4ZnIr crystal, computed with PBE.

Unit cell a=9.494 b=9.494 c=9.494 alpha=60.00 beta=60.00 gamma=60.00
Fractional coordinates of all 24 atoms:
Ir: 0.607 0.178 0.607
Dy: 0.187 0.813 0.813
Dy: 0.810 0.397 0.397
Dy: 0.397 0.397 0.397
Dy: 0.813 0.813 0.187
Dy: 0.187 0.813 0.187
Dy: 0.187 0.187 0.813
Ir: 0.178 0.607 0.607
Ir: 0.607 0.607 0.607
Dy: 0.942 0.942 0.558
Dy: 0.813 0.187 0.813
Zn: 0.171 0.486 0.171
Dy: 0.942 0.558 0.558
Dy: 0.397 0.810 0.397
Dy: 0.942 0.558 0.942
Dy: 0.813 0.187 0.187
Ir: 0.607 0.607 0.178
Dy: 0.397 0.397 0.810
Dy: 0.558 0.942 0.942
Zn: 0.171 0.171 0.486
Zn: 0.486 0.171 0.171
Zn: 0.171 0.171 0.171
Dy: 0.558 0.558 0.942
Dy: 0.558 0.942 0.558

## Properties
Energy of formation from the pure elements (eV per atom): -0.497
Space group: F-43m, No. 216
Calculated density (kg/m³): 9962

# 3
A relaxed Mg3RhPb crystal, computed with PBE.

Unit cell a=3.153 b=7.718 c=8.798 alpha=90.00 beta=89.99 gamma=90.00
Fractional coordinates of all 10 atoms:
Mg: 0.090 0.659 0.888
Rh: 0.590 0.612 0.638
Mg: 0.091 0.337 0.092
Pb: 0.593 0.174 0.388
Mg: 0.090 0.565 0.388
Mg: 0.090 0.887 0.183
Pb: 0.593 0.050 0.888
Mg: 0.090 0.337 0.683
Rh: 0.590 0.612 0.138
Mg: 0.090 0.887 0.592

## Properties
Energy of formation from the pure elements (eV per atom): -0.262
Space group: Pma2, No. 28
Calculated density (kg/m³): 5942

# 4
A relaxed Tb3Ho4Al4 crystal, computed with PBE.

Unit cell a=5.124 b=6.743 c=9.479 alpha=110.84 beta=105.68 gamma=90.00
Fractional coordinates of all 11 atoms:
Tb: 0.100 0.100 0.200
Al: 0.174 0.674 0.348
Al: 0.826 0.326 0.652
Tb: 0.900 0.900 0.800
Al: 0.500 0.203 0.000
Tb: 0.000 0.500 0.000
Ho: 0.680 0.915 0.360
Al: 0.500 0.797 0.000
Ho: 0.320 0.555 0.640
Ho: 0.320 0.085 0.640
Ho: 0.680 0.445 0.360

## Properties
Energy of formation from the pure elements (eV per atom): -0.186
Space group: Immm, No. 71
Calculated density (kg/m³): 7052

# 5
A relaxed KCu2Os crystal, computed with PBE.

Unit cell a=2.716 b=2.716 c=9.054 alpha=90.00 beta=90.00 gamma=90.00
Last column: magnetic moment on the atom in μB.
Fractional coordinates of all 4 atoms:
K: 0.000 0.000 0.500  0.00
Os: 0.500 0.500 0.805  0.06
Cu: 0.000 0.000 0.007  0.01
Cu: 0.500 0.500 0.189  0.00

## Properties
Energy of formation from the pure elements (eV per atom): 0.760
Space group: P4mm, No. 99
Calculated density (kg/m³): 8865

# 6
A relaxed MoIr2 crystal, computed with PBE.

Unit cell a=2.727 b=4.072 c=17.707 alpha=90.00 beta=90.00 gamma=90.00
Fractional coordinates of all 12 atoms:
Mo: 0.000 0.750 0.393
Ir: 0.500 0.250 0.457
Mo: 0.500 0.750 0.107
Ir: 0.500 0.750 0.543
Mo: 0.000 0.250 0.607
Ir: 0.500 0.750 0.689
Ir: 0.000 0.750 0.811
Ir: 0.000 0.250 0.043
Ir: 0.000 0.250 0.189
Mo: 0.500 0.250 0.893
Ir: 0.000 0.750 0.957
Ir: 0.500 0.250 0.311

## Properties
Energy of formation from the pure elements (eV per atom): 0.046
Space group: Imma, No. 74
Calculated density (kg/m³): 16225

no.,Fermi-level density of states (states/eV/cell)
1,0.0
2,13.1
3,3.1
4,11.0
5,4.6
6,11.1